No. 1
A geometry-optimized ScZnSeF2 structure. Source: the Alexandria database, functional GGA-PBE.

Structure (POSCAR):
```
ScZnSeF2
1.0
-1.186 -1.386 -3.984
5.042 -0.893 -1.190
-0.363 -4.090 1.531
Se F Zn Sc
1 2 1 1
Direct
0.000 0.000 0.000
0.500 0.000 0.000
0.000 0.000 0.500
0.500 0.500 0.500
0.000 0.500 0.000
```

Results
SG = P4/mmm, No. 123
Energy relative to the elements, uncorrected = -0.717 eV per atom


No. 2
A geometry-optimized SmMgZn11 structure. Source: the Alexandria database, functional GGA-PBE.

Structure (POSCAR):
```
SmMgZn11
1.0
-4.178 1.098 3.226
-5.345 -4.253 -0.921
0.251 -3.333 5.965
Zn Mg Sm
11 1 1
Direct
0.655 0.351 0.358
0.500 0.000 0.500
0.013 0.351 0.642
0.345 0.649 0.642
0.498 0.214 0.780
0.000 0.500 0.000
0.721 0.786 0.780
0.987 0.649 0.358
0.502 0.786 0.220
0.000 0.000 0.500
0.279 0.214 0.220
0.500 0.500 0.000
0.000 0.000 0.000
```

Results
SG = C2/m, No. 12
ΔH_f (0 K) = -0.17 eV per atom


No. 3
A geometry-optimized TiAlZnPt2 structure. Source: the Alexandria database, functional GGA-PBE.

Structure (POSCAR):
```
TiAlZnPt2
1.0
-2.562 3.512 -1.601
-2.200 -2.842 -2.714
-3.127 -0.761 3.332
Pt Zn Ti Al
2 1 1 1
Direct
0.500 0.000 0.000
0.000 0.000 0.500
0.000 0.000 0.000
0.000 0.500 0.000
0.500 0.500 0.500
```

Results
SG = P4/mmm, No. 123
ΔH_f (0 K) = 0.54 eV per atom


No. 4
A geometry-optimized NdTlZnF6 structure. Source: the Alexandria database, functional GGA-PBE.

Structure (POSCAR):
```
NdTlZnF6
1.0
5.984 0.000 0.000
-2.992 5.182 0.000
0.000 0.000 11.281
F Zn Tl Nd
12 2 2 2
Direct
0.632 0.027 0.352
0.027 0.395 0.648
0.605 0.973 0.852
0.632 0.605 0.148
0.605 0.632 0.648
0.027 0.632 0.852
0.368 0.973 0.648
0.973 0.605 0.352
0.368 0.395 0.852
0.395 0.368 0.352
0.973 0.368 0.148
0.395 0.027 0.148
0.333 0.667 0.750
0.667 0.333 0.250
0.000 0.000 0.000
0.000 0.000 0.500
0.667 0.333 0.750
0.333 0.667 0.250
```

Results
SG = P-31c, No. 163
Energy relative to the elements, uncorrected = -2.928 eV per atom


No. 5
A geometry-optimized Y2MnIn structure. Source: the Alexandria database, functional GGA-PBE.

Structure (POSCAR):
```
Y2MnIn
1.0
10.222 0.125 0.074
9.595 3.529 0.074
9.595 1.769 3.055
Y Mn In
2 1 1
Direct
0.244 0.244 0.244
0.011 0.011 0.011
0.754 0.754 0.754
0.490 0.490 0.490
```

Results
SG = R3m, No. 160
ΔH_f (0 K) = 0.18 eV per atom


No. 6
A geometry-optimized Hf2PC structure. Source: the Alexandria database, functional GGA-PBE.

Structure (POSCAR):
```
Hf2PC
1.0
1.346 3.117 2.745
-2.264 0.830 3.639
1.651 -1.084 3.894
C Hf P
1 2 1
Direct
0.000 0.000 0.000
0.750 0.750 0.750
0.250 0.250 0.250
0.500 0.500 0.500
```

Results
SG = Fm-3m, No. 225
ΔH_f (0 K) = -0.02 eV per atom


No. 7
A geometry-optimized Dy5Y4Ho structure. Source: the Alexandria database, functional GGA-PBE.

Structure (POSCAR):
```
Dy5Y4Ho
1.0
-3.077 1.353 1.170
-0.992 -1.290 -6.597
-0.560 -13.869 3.682
Y Ho Dy
4 1 5
Direct
0.885 0.703 0.807
0.359 0.828 0.211
0.115 0.297 0.193
0.641 0.172 0.789
0.500 0.000 0.000
0.226 0.125 0.416
0.774 0.875 0.584
0.069 0.418 0.615
0.931 0.582 0.385
0.500 0.500 0.000
```

Results
SG = P-1, No. 2
ΔH_f (0 K) = 0.06 eV per atom


No. 8
A geometry-optimized TbFeP2Ru structure. Source: the Alexandria database, functional GGA-PBE.

Structure (POSCAR):
```
TbFeP2Ru
1.0
3.949 0.000 0.000
0.000 3.949 0.000
-1.974 -1.974 4.797
P Ru Fe Tb
2 1 1 1
Direct
0.628 0.628 0.256
0.372 0.372 0.744
0.250 0.750 0.500
0.750 0.250 0.500
0.000 0.000 0.000
```

Results
SG = I-4m2, No. 119
ΔH_f (0 K) = -0.99 eV per atom


No. 9
A geometry-optimized CuTeP4 structure. Source: the Alexandria database, functional GGA-PBE.

Structure (POSCAR):
```
CuTeP4
1.0
0.000 4.037 4.037
4.037 0.000 4.037
4.037 4.037 0.000
Cu P Te
1 4 1
Direct
0.000 0.000 0.000
0.348 0.957 0.348
0.957 0.348 0.348
0.348 0.348 0.957
0.348 0.348 0.348
0.750 0.750 0.750
```

Results
SG = F-43m, No. 216
Energy relative to the elements, uncorrected = 0.666 eV per atom


No. 10
A geometry-optimized Tb2Te5 structure. Source: the Alexandria database, functional GGA-PBE.

Structure (POSCAR):
```
Tb2Te5
1.0
-3.449 -1.811 -2.010
2.544 -1.061 -3.409
6.441 -18.785 10.651
Te Tb
10 4
Direct
0.953 0.250 0.905
0.376 0.250 0.753
0.047 0.750 0.095
0.750 0.250 0.500
0.175 0.250 0.349
0.547 0.250 0.095
0.825 0.750 0.651
0.624 0.750 0.247
0.250 0.750 0.500
0.453 0.750 0.905
0.306 0.250 0.612
0.694 0.750 0.388
0.898 0.750 0.796
0.102 0.250 0.204
```

Results
SG = Cmcm, No. 63
Energy relative to the elements, uncorrected = -1.038 eV per atom


No. 11
A geometry-optimized LaIn3Ag structure. Source: the Alexandria database, functional GGA-PBE.

Structure (POSCAR):
```
LaIn3Ag
1.0
-4.538 1.280 1.444
1.095 -7.630 1.786
2.814 3.573 5.676
La Ag In
2 2 6
Direct
0.872 0.745 0.037
0.128 0.255 0.963
0.519 0.039 0.200
0.481 0.961 0.800
0.920 0.840 0.588
0.345 0.689 0.322
0.655 0.311 0.678
0.080 0.160 0.412
0.283 0.567 0.706
0.717 0.433 0.294
```

Results
SG = C2/m, No. 12
ΔH_f (0 K) = -0.31 eV per atom


No. 12
A geometry-optimized PrGaP2O8 structure. Source: the Alexandria database, functional GGA-PBE.

Structure (POSCAR):
```
PrGaP2O8
1.0
4.955 0.000 0.000
-2.478 4.291 0.000
0.000 0.000 6.885
Pr O P Ga
1 8 2 1
Direct
0.000 0.000 0.000
0.665 0.751 0.686
0.751 0.086 0.314
0.335 0.249 0.314
0.333 0.667 0.976
0.086 0.335 0.686
0.249 0.914 0.686
0.667 0.333 0.024
0.914 0.665 0.314
0.333 0.667 0.752
0.667 0.333 0.248
0.000 0.000 0.500
```

Results
SG = P-3, No. 147
Energy relative to the elements, uncorrected = -2.475 eV per atom


No. 13
A geometry-optimized CsCu3SeS structure. Source: the Alexandria database, functional GGA-PBE.

Structure (POSCAR):
```
CsCu3SeS
1.0
-1.907 5.358 3.054
-4.815 -3.231 2.662
6.246 0.084 3.753
Cu S Cs Se
6 2 2 2
Direct
0.250 0.249 0.499
0.500 0.789 0.000
0.500 0.211 0.000
0.000 0.789 0.000
0.750 0.751 0.501
0.000 0.211 0.000
0.750 0.915 0.829
0.250 0.085 0.171
0.250 0.730 0.459
0.750 0.270 0.541
0.250 0.423 0.846
0.750 0.577 0.154
```

Results
SG = Cmcm, No. 63
Energy relative to the elements, uncorrected = -0.301 eV per atom


No. 14
A geometry-optimized CsIn2Co structure. Source: the Alexandria database, functional GGA-PBE.

Structure (POSCAR):
```
CsIn2Co
1.0
-0.271 -6.832 -1.353
6.176 -0.862 3.114
-0.162 -4.889 6.769
Cs In Co
2 4 2
Direct
0.750 0.250 0.500
0.000 0.000 0.000
0.375 0.625 0.250
0.375 0.625 0.750
0.375 0.125 0.250
0.875 0.625 0.750
0.500 0.500 0.000
0.250 0.750 0.500
```

Results
SG = I4_1/amd, No. 141
ΔH_f (0 K) = 0.24 eV per atom


No. 15
A geometry-optimized YSc2Au structure. Source: the Alexandria database, functional GGA-PBE.

Structure (POSCAR):
```
YSc2Au
1.0
6.018 0.012 0.000
2.998 5.218 0.000
-4.508 -2.615 3.009
Sc Au Y
2 1 1
Direct
0.500 0.500 0.000
0.000 0.000 0.000
0.750 0.250 0.500
0.250 0.750 0.500
```

Results
SG = I4/mmm, No. 139
ΔH_f (0 K) = -0.25 eV per atom


No. 16
A geometry-optimized Pm3CuAg2 structure. Source: the Alexandria database, functional GGA-PBE.

Structure (POSCAR):
```
Pm3CuAg2
1.0
-3.506 0.041 -1.058
0.883 -1.910 -2.998
-1.780 -9.509 5.532
Ag Pm Cu
2 3 1
Direct
0.500 0.500 0.172
0.500 0.500 0.828
0.000 0.000 0.344
0.000 0.000 0.000
0.000 0.000 0.656
0.500 0.500 0.500
```

Results
SG = P4/mmm, No. 123
ΔH_f (0 K) = -0.23 eV per atom


No. 17
A geometry-optimized MnAg2Pd8 structure. Source: the Alexandria database, functional GGA-PBE.

Structure (POSCAR):
```
MnAg2Pd8
1.0
0.292 -4.036 -3.229
5.763 -2.941 -4.063
4.374 -5.238 2.813
Mn Pd Ag
1 8 2
Direct
0.500 0.000 0.000
0.899 0.321 0.781
0.101 0.898 0.781
0.500 0.216 0.567
0.669 0.602 0.000
0.331 0.398 0.000
0.899 0.102 0.219
0.101 0.679 0.219
0.500 0.784 0.433
0.000 0.306 0.389
0.000 0.694 0.611
```

Results
SG = C2/m, No. 12
ΔH_f (0 K) = 0.13 eV per atom


No. 18
A geometry-optimized SrAcAu structure. Source: the Alexandria database, functional GGA-PBE.

Structure (POSCAR):
```
SrAcAu
1.0
-3.313 4.218 1.423
-2.227 -0.026 -5.104
-3.765 -4.545 4.704
Sr Ac Au
2 2 2
Direct
0.752 0.617 0.228
0.252 0.390 0.775
0.252 0.127 0.248
0.752 0.881 0.755
0.252 0.754 0.502
0.752 0.254 0.502
```

Results
SG = Cmcm, No. 63
ΔH_f (0 K) = -0.49 eV per atom


No. 19
A geometry-optimized LiNdGa2Ni structure. Source: the Alexandria database, functional GGA-PBE.

Structure (POSCAR):
```
LiNdGa2Ni
1.0
-3.220 2.405 1.850
-2.639 -3.552 0.024
4.492 -0.560 3.255
Nd Ni Ga Li
1 1 2 1
Direct
0.000 0.000 0.000
0.250 0.750 0.500
0.634 0.634 0.268
0.366 0.366 0.732
0.750 0.250 0.500
```

Results
SG = I-4m2, No. 119
ΔH_f (0 K) = -0.43 eV per atom


No. 20
A geometry-optimized InFe2Hg structure. Source: the Alexandria database, functional GGA-PBE.

Structure (POSCAR):
```
InFe2Hg
1.0
9.120 -0.018 -0.011
8.613 2.996 -0.011
8.613 1.446 2.624
Hg In Fe
1 1 2
Direct
0.511 0.511 0.511
0.739 0.739 0.739
0.261 0.261 0.261
0.989 0.989 0.989
```

Results
SG = R3m, No. 160
ΔH_f (0 K) = 0.37 eV per atom


No. 21
A geometry-optimized Cu5SiTe4Br2 structure. Source: the Alexandria database, functional GGA-PBE.

Structure (POSCAR):
```
Cu5SiTe4Br2
1.0
-4.709 4.053 -1.328
-1.598 -6.438 1.217
-0.750 1.628 7.625
Te Cu Si Br
4 5 1 2
Direct
0.036 0.637 0.000
0.399 0.363 0.000
0.660 0.000 0.735
0.660 0.000 0.265
0.072 0.337 0.219
0.734 0.663 0.781
0.734 0.663 0.219
0.072 0.337 0.781
0.369 0.000 0.500
0.438 0.000 0.000
0.952 0.672 0.500
0.280 0.328 0.500
```

Results
SG = Amm2, No. 38
Energy relative to the elements, uncorrected = -0.066 eV per atom


No. 22
A geometry-optimized Ag3ClF5 structure. Source: the Alexandria database, functional GGA-PBE.

Structure (POSCAR):
```
Ag3ClF5
1.0
6.283 0.244 -0.004
1.955 5.976 -0.004
2.433 1.837 8.241
F Ag Cl
10 6 2
Direct
0.781 0.781 0.998
0.943 0.359 0.325
0.703 0.297 0.000
0.434 0.434 0.333
0.057 0.641 0.675
0.641 0.057 0.675
0.219 0.219 0.002
0.359 0.943 0.325
0.297 0.703 0.000
0.566 0.566 0.667
0.671 0.671 0.837
0.000 0.000 0.000
0.000 0.000 0.500
0.644 0.644 0.317
0.329 0.329 0.163
0.356 0.356 0.683
0.121 0.121 0.696
0.879 0.879 0.304
```

Results
SG = C2/m, No. 12
Energy relative to the elements, uncorrected = -0.996 eV per atom


No. 23
A geometry-optimized Li3In2Ag7 structure. Source: the Alexandria database, functional GGA-PBE.

Structure (POSCAR):
```
Li3In2Ag7
1.0
-2.111 -1.461 -1.984
-1.696 -2.282 3.484
-9.698 12.786 0.903
Ag Li In
7 3 2
Direct
0.500 0.273 0.549
0.000 0.000 0.000
0.500 0.727 0.451
0.000 0.437 0.872
0.500 0.921 0.839
0.000 0.563 0.128
0.500 0.079 0.161
0.000 0.194 0.388
0.000 0.806 0.612
0.500 0.500 0.000
0.500 0.363 0.720
0.500 0.637 0.280
```

Results
SG = P2/m, No. 10
ΔH_f (0 K) = -0.06 eV per atom


No. 24
A geometry-optimized As2PHSe structure. Source: the Alexandria database, functional GGA-PBE.

Structure (POSCAR):
```
As2PHSe
1.0
-0.701 2.373 -3.031
-3.239 -2.028 -0.838
-2.832 3.214 3.171
P H As Se
1 1 2 1
Direct
0.500 0.500 0.500
0.000 0.000 0.000
0.000 0.500 0.000
0.500 0.000 0.000
0.000 0.000 0.500
```

Results
SG = P4/mmm, No. 123
E = -3.55 eV/atom